#i
# Hg2BiSb2

Crystalline Hg2BiSb2 at its relaxed geometry (PBE-GGA, Alexandria via LeMat-Bulk).

Structure (POSCAR):
```
Hg2BiSb2
1.0
-8.566 2.484 2.148
0.976 -3.802 8.292
1.168 2.970 1.224
Hg Sb Bi
4 4 2
Direct
0.110 0.610 0.500
0.610 0.890 0.500
0.890 0.390 0.500
0.390 0.110 0.500
0.201 0.299 0.000
0.701 0.201 0.000
0.799 0.701 0.000
0.299 0.799 0.000
0.000 0.000 0.000
0.500 0.500 0.000
```

=====

#ii
# Hg2BiSb2

Crystalline Hg2BiSb2 at its relaxed geometry (PBE-GGA, Alexandria via LeMat-Bulk).

Structure (POSCAR):
```
Hg2BiSb2
1.0
8.429 0.000 0.000
0.000 8.429 0.000
0.000 0.000 3.918
Sb Hg Bi
4 4 2
Direct
0.367 0.133 0.500
0.867 0.367 0.500
0.633 0.867 0.500
0.133 0.633 0.500
0.658 0.158 0.000
0.158 0.342 0.000
0.342 0.842 0.000
0.842 0.658 0.000
0.500 0.500 0.000
0.000 0.000 0.000
```

=====

Bottom line: #i, by a margin of 0.097 eV/atom.

=====

#i
# HgBiSb

Crystalline HgBiSb at its relaxed geometry (PBE-GGA, Alexandria via LeMat-Bulk).

Structure (POSCAR):
```
HgBiSb
1.0
4.248 -0.423 0.507
0.117 6.145 4.093
-0.987 0.200 8.381
Sb Bi Hg
2 2 2
Direct
0.250 0.156 0.458
0.750 0.844 0.542
0.250 0.331 0.039
0.750 0.669 0.961
0.249 0.731 0.271
0.751 0.269 0.729
```

=====

#ii
# HgBiSb

Crystalline HgBiSb at its relaxed geometry (PBE-GGA, Alexandria via LeMat-Bulk).

Structure (POSCAR):
```
HgBiSb
1.0
-1.925 0.440 4.861
-3.061 -3.783 1.962
1.798 -3.110 3.825
Hg Bi Sb
1 1 1
Direct
0.500 0.500 0.500
0.000 0.000 0.000
0.250 0.250 0.250
```

=====

Bottom line: #i, by a margin of 0.073 eV/atom.

=====

#i
# SrHgBiSb

Crystalline SrHgBiSb at its relaxed geometry (PBE-GGA, Alexandria via LeMat-Bulk).

Structure (POSCAR):
```
SrHgBiSb
1.0
5.596 0.000 0.000
2.798 4.846 0.000
2.798 1.615 4.569
Hg Sb Bi Sr
1 1 1 1
Direct
0.250 0.250 0.250
0.750 0.750 0.750
0.500 0.500 0.500
0.000 0.000 0.000
```

=====

#ii
# SrHgBiSb

Crystalline SrHgBiSb at its relaxed geometry (PBE-GGA, Alexandria via LeMat-Bulk).

Structure (POSCAR):
```
SrHgBiSb
1.0
-3.827 0.645 -2.394
2.131 -2.063 -3.962
-1.795 -4.853 1.561
Sb Sr Bi Hg
1 1 1 1
Direct
0.000 0.000 0.000
0.500 0.000 0.500
0.500 0.500 0.000
0.000 0.500 0.500
```

=====

Bottom line: #ii, by a margin of 0.094 eV/atom.